[1]
Below is a geometry-optimized Sm3Ni structure, with properties calculated at the PBE-GGA level.

Properties
Total moment   0.05 μB/f.u.
Uncorrected energy   -0.1775 hartree per atom
Crystal system   hexagonal

abc: 7.254 7.254 4.625
angles: 90.00 90.00 120.00
Fractional coordinates of all 8 atoms:
Sm1 0.632 0.816 0.250
Sm2 0.816 0.632 0.750
Sm3 0.368 0.184 0.750
Sm4 0.184 0.816 0.250
Ni1 0.667 0.333 0.250
Sm5 0.184 0.368 0.250
Sm6 0.816 0.184 0.750
Ni2 0.333 0.667 0.750

***

[2]
Below is a geometry-optimized CoAgPbW structure, with properties calculated at the PBE-GGA level.

Properties
Total moment   2.00 μB/f.u.
Uncorrected energy   -0.2086 hartree per atom
Crystal system   cubic

abc: 4.591 4.591 4.591
angles: 60.00 60.00 60.00
Fractional coordinates of all 4 atoms:
W1 0.500 0.500 0.500
Pb1 0.000 0.000 0.000
Co1 0.750 0.750 0.750
Ag1 0.250 0.250 0.250

***

[3]
Below is a geometry-optimized HoTmAlTe3 structure, with properties calculated at the PBE-GGA level.

Properties
Total moment   0.01 μB/f.u.
Uncorrected energy   -0.1680 hartree per atom
Crystal system   orthorhombic

abc: 7.876 7.876 10.402
angles: 90.00 90.00 150.17
Fractional coordinates of all 12 atoms:
Tm1 0.500 0.500 0.500
Al1 0.023 0.977 0.750
Te1 0.152 0.848 0.954
Ho1 0.283 0.717 0.250
Te2 0.622 0.378 0.250
Tm2 0.500 0.500 0.000
Ho2 0.717 0.283 0.750
Te3 0.378 0.622 0.750
Te4 0.152 0.848 0.546
Te5 0.848 0.152 0.454
Al2 0.977 0.023 0.250
Te6 0.848 0.152 0.046

***

[4]
Below is a geometry-optimized GdScRe structure, with properties calculated at the PBE-GGA level.

Properties
Total moment   0.09 μB/f.u.
Uncorrected energy   -0.2429 hartree per atom
Crystal system   cubic

abc: 4.651 4.651 4.651
angles: 60.00 60.00 60.00
Last column: magnetic moment on the atom in μB.
Fractional coordinates of all 3 atoms:
Sc1 0.750 0.750 0.750  -0.02
Re1 0.250 0.250 0.250  0.11
Gd1 0.000 0.000 0.000  -0.01

***

[5]
Below is a geometry-optimized Rb2FeNiP2 structure, with properties calculated at the PBE-GGA level.

Properties
Total moment   0.73 μB/f.u.
Uncorrected energy   -0.1782 hartree per atom
Crystal system   tetragonal

abc: 3.799 3.799 10.247
angles: 90.00 90.00 90.00
Last column: magnetic moment on the atom in μB.
Fractional coordinates of all 6 atoms:
Ni1 0.000 0.000 0.000  0.07
P1 0.000 0.500 0.114  -0.01
P2 0.500 0.000 0.886  -0.01
Fe1 0.500 0.500 0.000  0.59
Rb1 0.000 0.500 0.691  0.01
Rb2 0.500 0.000 0.309  0.01

***

[6]
Below is a geometry-optimized HfSiNiOs structure, with properties calculated at the PBE-GGA level.

Properties
Total moment   0.10 μB/f.u.
Uncorrected energy   -0.2944 hartree per atom
Crystal system   cubic

abc: 4.391 4.391 4.391
angles: 60.00 60.00 60.00
Fractional coordinates of all 4 atoms:
Os1 0.500 0.500 0.500
Ni1 0.750 0.750 0.750
Si1 0.000 0.000 0.000
Hf1 0.250 0.250 0.250

***

- Among the records above, which one has the highest total moment?
  CoAgPbW